*a*
Compound: BeCdPb2
Source: Alexandria
Functional: PBE
Structure: optimized geometry

ρ ... 9.0 g cm⁻³
Space-group type ... No. 225
Volume ... 98.5 Å³/cell

a b c (Å): 5.183 5.183 5.183
angles (deg): 60.00 60.00 60.00
Element x y z (fractional)
Be  0.000  0.000  0.000
Cd  0.500  0.500  0.500
Pb  0.250  0.250  0.250
Pb  0.750  0.750  0.750


*b*
Compound: BeCdPb2
Source: Alexandria
Functional: PBE
Structure: optimized geometry

ρ ... 9.0 g cm⁻³
Space-group type ... No. 47
Volume ... 99.0 Å³/cell

a b c (Å): 3.298 3.314 9.060
angles (deg): 90.00 90.00 90.00
Element x y z (fractional)
Be  0.000  0.000  0.000
Cd  0.000  0.000  0.500
Pb  0.500  0.500  0.198
Pb  0.500  0.500  0.802


*c*
Compound: BeCdPb2
Source: Alexandria
Functional: PBE
Structure: optimized geometry

ρ ... 9.2 g cm⁻³
Space-group type ... No. 6
Volume ... 96.8 Å³/cell

a b c (Å): 4.722 3.445 6.327
angles (deg): 90.00 109.82 90.00
Element x y z (fractional)
Be  0.000  0.000  0.000
Cd  0.819  0.500  0.675
Pb  0.212  0.000  0.451
Pb  0.543  0.500  0.090


Computed stability ranking, most favorable first: *c*, *b*, *a*


*a*
Compound: BeCdPb2
Source: Alexandria
Functional: PBE
Structure: optimized geometry

ρ ... 9.0 g cm⁻³
Space-group type ... No. 10
Volume ... 99.3 Å³/cell

a b c (Å): 3.292 3.541 8.554
angles (deg): 90.00 95.56 90.00
Element x y z (fractional)
Be  0.000  0.000  0.000
Cd  0.000  0.000  0.500
Pb  0.447  0.500  0.201
Pb  0.553  0.500  0.799


*b*
Compound: BeCdPb2
Source: Alexandria
Functional: PBE
Structure: optimized geometry

ρ ... 8.8 g cm⁻³
Space-group type ... No. 216
Volume ... 101.5 Å³/cell

a b c (Å): 5.235 5.235 5.235
angles (deg): 60.00 60.00 60.00
Element x y z (fractional)
Be  0.000  0.000  0.000
Cd  0.250  0.250  0.250
Pb  0.500  0.500  0.500
Pb  0.750  0.750  0.750


Computed stability ranking, most favorable first: *a*, *b*


*a*
Compound: BeCd3Pb
Source: Alexandria
Functional: PBE
Structure: optimized geometry

ρ ... 8.0 g cm⁻³
Space-group type ... No. 221
Volume ... 115.2 Å³/cell

a b c (Å): 4.866 4.866 4.866
angles (deg): 90.00 90.00 90.00
Element x y z (fractional)
Be  0.000  0.000  0.000
Cd  0.000  0.000  0.500
Cd  0.000  0.500  0.000
Cd  0.500  0.000  0.000
Pb  0.500  0.500  0.500


*b*
Compound: BeCd3Pb
Source: Alexandria
Functional: PBE
Structure: optimized geometry

ρ ... 4.7 g cm⁻³
Space-group type ... No. 221
Volume ... 196.5 Å³/cell

a b c (Å): 5.813 5.813 5.813
angles (deg): 90.00 90.00 90.00
Element x y z (fractional)
Be  0.000  0.000  0.000
Cd  0.000  0.500  0.500
Cd  0.500  0.000  0.500
Cd  0.500  0.500  0.000
Pb  0.500  0.500  0.500


Computed stability ranking, most favorable first: *a*, *b*


*a*
Compound: Be2CdPd2
Source: Alexandria
Functional: PBE
Structure: optimized geometry

ρ ... 8.4 g cm⁻³
Space-group type ... No. 127
Volume ... 136.5 Å³/cell

a b c (Å): 7.047 7.047 2.748
angles (deg): 90.00 90.00 90.00
Element x y z (fractional)
Be  0.148  0.352  0.000
Be  0.352  0.852  0.000
Be  0.648  0.148  0.000
Be  0.852  0.648  0.000
Cd  0.000  0.000  0.500
Cd  0.500  0.500  0.500
Pd  0.142  0.642  0.500
Pd  0.358  0.142  0.500
Pd  0.642  0.858  0.500
Pd  0.858  0.358  0.500


*b*
Compound: Be2CdPd2
Source: Alexandria
Functional: PBE
Structure: optimized geometry

ρ ... 8.7 g cm⁻³
Space-group type ... No. 127
Volume ... 131.3 Å³/cell

a b c (Å): 6.790 6.790 2.849
angles (deg): 90.00 90.00 90.00
Element x y z (fractional)
Be  0.123  0.377  0.000
Be  0.377  0.877  0.000
Be  0.623  0.123  0.000
Be  0.877  0.623  0.000
Cd  0.000  0.000  0.000
Cd  0.500  0.500  0.000
Pd  0.162  0.662  0.500
Pd  0.338  0.162  0.500
Pd  0.662  0.838  0.500
Pd  0.838  0.338  0.500


Computed stability ranking, most favorable first: *b*, *a*


*a*
Compound: BeCdPd3
Source: Alexandria
Functional: PBE
Structure: optimized geometry

ρ ... 9.4 g cm⁻³
Space-group type ... No. 221
Volume ... 78.1 Å³/cell

a b c (Å): 4.274 4.274 4.274
angles (deg): 90.00 90.00 90.00
Element x y z (fractional)
Be  0.000  0.000  0.000
Cd  0.500  0.500  0.500
Pd  0.000  0.000  0.500
Pd  0.000  0.500  0.000
Pd  0.500  0.000  0.000


*b*
Compound: BeCdPd3
Source: Alexandria
Functional: PBE
Structure: optimized geometry

ρ ... 6.1 g cm⁻³
Space-group type ... No. 221
Volume ... 119.5 Å³/cell

a b c (Å): 4.925 4.925 4.925
angles (deg): 90.00 90.00 90.00
Element x y z (fractional)
Be  0.000  0.000  0.000
Cd  0.500  0.500  0.500
Pd  0.000  0.500  0.500
Pd  0.500  0.000  0.500
Pd  0.500  0.500  0.000


Computed stability ranking, most favorable first: *a*, *b*


*a*
Compound: BeCd2Pd2
Source: Alexandria
Functional: PBE
Structure: optimized geometry

ρ ... 7.8 g cm⁻³
Space-group type ... No. 139
Volume ... 95.0 Å³/cell

a b c (Å): 7.217 7.217 7.217
angles (deg): 149.77 149.77 43.28
Element x y z (fractional)
Be  0.000  0.000  0.000
Cd  0.250  0.750  0.500
Cd  0.750  0.250  0.500
Pd  0.406  0.406  0.000
Pd  0.594  0.594  0.000


*b*
Compound: BeCd2Pd2
Source: Alexandria
Functional: PBE
Structure: optimized geometry

ρ ... 8.9 g cm⁻³
Space-group type ... No. 127
Volume ... 166.1 Å³/cell

a b c (Å): 6.041 6.041 4.551
angles (deg): 90.00 90.00 90.00
Element x y z (fractional)
Be  0.000  0.000  0.000
Be  0.500  0.500  0.000
Cd  0.166  0.334  0.500
Cd  0.334  0.834  0.500
Cd  0.666  0.166  0.500
Cd  0.834  0.666  0.500
Pd  0.157  0.657  0.000
Pd  0.343  0.157  0.000
Pd  0.657  0.843  0.000
Pd  0.843  0.343  0.000


Computed stability ranking, most favorable first: *b*, *a*


*a*
Compound: BeCdPd
Source: Alexandria
Functional: PBE
Structure: optimized geometry

ρ ... 8.2 g cm⁻³
Space-group type ... No. 139
Volume ... 91.8 Å³/cell

a b c (Å): 10.915 10.915 10.915
angles (deg): 164.59 164.59 21.86
Element x y z (fractional)
Be  0.222  0.222  0.000
Be  0.778  0.778  0.000
Cd  0.068  0.068  0.000
Cd  0.932  0.932  0.000
Pd  0.334  0.334  0.000
Pd  0.666  0.666  0.000


*b*
Compound: BeCdPd
Source: Alexandria
Functional: PBE
Structure: optimized geometry

ρ ... 8.6 g cm⁻³
Space-group type ... No. 107
Volume ... 44.2 Å³/cell

a b c (Å): 5.302 5.302 5.302
angles (deg): 146.92 146.92 47.48
Element x y z (fractional)
Be  0.000  0.000  0.000
Cd  0.306  0.306  0.000
Pd  0.600  0.600  0.000


Computed stability ranking, most favorable first: *a*, *b*


*a*
Compound: BeCd3Pd
Source: Alexandria
Functional: PBE
Structure: optimized geometry

ρ ... 5.4 g cm⁻³
Space-group type ... No. 221
Volume ... 138.2 Å³/cell

a b c (Å): 5.170 5.170 5.170
angles (deg): 90.00 90.00 90.00
Element x y z (fractional)
Be  0.000  0.000  0.000
Cd  0.000  0.500  0.500
Cd  0.500  0.000  0.500
Cd  0.500  0.500  0.000
Pd  0.500  0.500  0.500


*b*
Compound: BeCd3Pd
Source: Alexandria
Functional: PBE
Structure: optimized geometry

ρ ... 7.7 g cm⁻³
Space-group type ... No. 221
Volume ... 97.5 Å³/cell

a b c (Å): 4.603 4.603 4.603
angles (deg): 90.00 90.00 90.00
Element x y z (fractional)
Be  0.000  0.000  0.000
Cd  0.000  0.000  0.500
Cd  0.000  0.500  0.000
Cd  0.500  0.000  0.000
Pd  0.500  0.500  0.500


Computed stability ranking, most favorable first: *b*, *a*